Record 1
VASP calculation (GGA-PBE) on a geometry-optimized SmIn2F4 structure.

Summary:
crystal system = tetragonal
space-group type = I4/mmm (139)
formation energy without anion corrections = -2744.8 meV/atom

abc: 4.496 4.496 9.733
angles: 76.65 76.65 90.00
Element x y z (fractional)
Sm (0.000, 0.000, 0.000)
F (0.500, 0.000, 0.000)
F (0.122, 0.122, 0.755)
F (0.878, 0.878, 0.245)
F (0.000, 0.500, 0.000)
In (0.757, 0.757, 0.486)
In (0.243, 0.243, 0.514)

---

Record 2
VASP calculation (GGA-PBE) on a geometry-optimized Sm3InF structure.

Summary:
crystal system = cubic
space-group type = Pm-3m (221)
formation energy without anion corrections = -1113.6 meV/atom

abc: 4.979 4.979 4.979
angles: 90.00 90.00 90.00
Element x y z (fractional)
In (0.500, 0.500, 0.500)
Sm (0.500, 0.000, 0.000)
Sm (0.000, 0.000, 0.500)
Sm (0.000, 0.500, 0.000)
F (0.000, 0.000, 0.000)

---

Record 3
VASP calculation (GGA-PBE) on a geometry-optimized SmIn2F8 structure.

Summary:
crystal system = monoclinic
space-group type = C2/m (12)
formation energy without anion corrections = -2884.1 meV/atom

abc: 5.437 5.930 5.930
angles: 72.92 101.47 101.47
Element x y z (fractional)
F (0.712, 0.654, 0.045)
F (0.288, 0.955, 0.346)
F (0.288, 0.346, 0.955)
F (0.252, 0.437, 0.437)
F (0.712, 0.045, 0.654)
F (0.236, 0.841, 0.841)
F (0.764, 0.159, 0.159)
F (0.748, 0.563, 0.563)
In (0.564, 0.329, 0.329)
In (0.436, 0.671, 0.671)
Sm (0.000, 0.000, 0.000)

---

Record 4
VASP calculation (GGA-PBE) on a geometry-optimized SmInF structure.

Summary:
crystal system = tetragonal
space-group type = I4mm (107)
formation energy without anion corrections = -1572.9 meV/atom

abc: 3.374 3.374 6.524
angles: 104.98 104.98 90.00
Element x y z (fractional)
Sm (0.724, 0.724, 0.447)
In (0.008, 0.008, 0.015)
F (0.269, 0.269, 0.538)

---

Record 5
VASP calculation (GGA-PBE) on a geometry-optimized InSn2F structure.

Summary:
excess energy over the best structure of this formula in the dataset = 0 meV per atom
crystal system = cubic
space-group type = Fm-3m (225)
formation energy without anion corrections = -564.5 meV/atom

abc: 5.009 5.009 5.009
angles: 60.00 60.00 60.00
Element x y z (fractional)
Sn (0.750, 0.750, 0.750)
Sn (0.250, 0.250, 0.250)
F (0.000, 0.000, 0.000)
In (0.500, 0.500, 0.500)

---

Record 6
VASP calculation (GGA-PBE) on a geometry-optimized In3SnF structure.

Summary:
excess energy over the best structure of this formula in the dataset = 0 meV per atom
crystal system = cubic
space-group type = Pm-3m (221)
formation energy without anion corrections = -486.1 meV/atom

abc: 5.058 5.058 5.058
angles: 90.00 90.00 90.00
Element x y z (fractional)
Sn (0.500, 0.500, 0.500)
F (0.000, 0.000, 0.000)
In (0.000, 0.500, 0.000)
In (0.500, 0.000, 0.000)
In (0.000, 0.000, 0.500)